Record 1
Material: SrMg2Cu
Method: DFT, GGA-PBEsol
State: relaxed

Summary:
Formation energy   0.05 eV/atom
Density   3.46 Mg/m³
Symmetry   Immm, No. 71

Geometry as POSCAR:
```
SrMg2Cu
1.0
3.373 0.000 0.000
0.000 5.338 0.000
0.000 0.000 10.647
Sr Mg Cu
2 4 2
Cartesian
0.000 0.000 0.000
1.687 2.669 5.324
0.000 2.669 2.144
0.000 2.669 8.503
1.687 0.000 3.180
1.687 0.000 7.468
0.000 0.000 5.324
1.687 2.669 0.000
```

Record 2
Material: Be2SiBr
Method: DFT, GGA-PBEsol
State: relaxed

Summary:
Polymorph energy (0 for the lowest one)   0.3239 eV per atom
ΔE_f (raw)   650 meV per atom
Density   3.42 Mg/m³
Symmetry   C2/m, No. 12

Geometry as POSCAR:
```
Be2SiBr
1.0
5.289 0.000 0.000
0.000 6.887 0.000
-1.914 0.000 3.355
Be Si Br
4 2 2
Cartesian
1.322 1.722 0.000
1.322 5.165 0.000
3.967 1.722 0.000
3.967 5.165 0.000
-0.957 0.000 1.678
1.688 3.444 1.678
-0.957 3.444 1.678
1.688 0.000 1.678
```

Record 3
Material: MgBeTc3
Method: DFT, GGA-PBEsol
State: relaxed

Summary:
Formation energy   0.74 eV/atom
Density   7.61 Mg/m³
Symmetry   Pm-3m, No. 221

Geometry as POSCAR:
```
MgBeTc3
1.0
4.148 0.000 0.000
0.000 4.148 0.000
0.000 0.000 4.148
Mg Be Tc
1 1 3
Cartesian
0.000 0.000 0.000
2.074 2.074 2.074
0.000 2.074 2.074
2.074 0.000 2.074
2.074 2.074 0.000
```

Record 4
Material: NiPt2Br
Method: DFT, GGA-PBEsol
State: relaxed

Summary:
Polymorph energy (0 for the lowest one)   0.1809 eV per atom
ΔE_f (raw)   520 meV per atom
Density   14.14 Mg/m³
Symmetry   C2/m, No. 12

Geometry as POSCAR:
```
NiPt2Br
1.0
5.338 0.000 0.000
0.000 9.303 0.000
-1.687 0.000 2.501
Ni Pt Br
2 4 2
Cartesian
0.000 0.000 0.000
2.669 4.651 0.000
0.491 2.326 1.250
0.491 6.977 1.250
3.160 2.326 1.250
3.160 6.977 1.250
0.000 4.651 0.000
2.669 0.000 0.000
```

Record 5
Material: BaV2TeO8
Method: DFT, GGA-PBEsol
State: relaxed

Summary:
ΔE_f (raw)   -2229 meV per atom
Density   4.65 Mg/m³
Symmetry   P2_1/c, No. 14

Geometry as POSCAR:
```
BaV2TeO8
1.0
9.570 0.000 0.000
0.000 5.621 0.000
-5.442 0.000 13.134
Ba V Te O
4 8 4 32
Cartesian
0.531 1.018 4.473
-2.190 1.792 11.040
6.318 3.829 2.094
3.597 4.602 8.661
-0.414 0.918 1.134
-3.135 1.892 7.701
3.894 0.781 1.791
1.173 2.029 8.358
2.955 3.591 4.776
0.234 4.840 11.343
7.263 3.728 5.433
4.542 4.703 12.000
2.202 3.673 1.290
-0.519 4.758 7.857
4.647 0.863 5.277
1.926 1.947 11.844
-1.588 2.918 4.190
-4.309 5.513 10.757
-1.791 3.106 7.206
0.930 5.325 0.639
-2.077 0.773 8.408
0.644 2.037 1.841
-3.756 3.410 12.577
-1.035 5.021 6.010
1.394 3.740 4.241
-1.327 4.691 10.808
0.726 0.631 7.348
3.447 2.179 0.781
1.052 3.550 7.421
3.773 4.881 0.854
2.898 0.611 3.115
0.177 2.199 9.682
3.951 3.422 3.452
1.230 5.009 10.019
0.355 0.740 12.281
3.076 2.070 5.713
0.681 3.441 12.353
3.402 4.990 5.786
5.455 0.930 2.326
2.734 1.881 8.893
5.163 0.599 7.124
7.884 2.211 0.557
3.484 3.584 11.293
6.205 4.847 4.726
3.198 0.295 12.495
5.919 2.515 5.928
8.437 0.108 2.377
5.716 2.702 8.944
```

Record 6
Material: DyNiSn
Method: DFT, GGA-PBEsol
State: relaxed

Summary:
Formation energy   -0.72 eV/atom
Density   9.65 Mg/m³
Symmetry   Pnma, No. 62

Geometry as POSCAR:
```
DyNiSn
1.0
7.034 0.000 0.000
0.000 4.402 0.000
0.000 0.000 7.559
Dy Ni Sn
4 4 4
Cartesian
0.102 1.101 1.498
3.415 3.302 5.277
3.619 1.101 2.282
6.932 3.302 6.061
1.428 3.302 3.122
2.089 1.101 6.901
4.945 3.302 0.658
5.606 1.101 4.437
1.301 1.101 4.428
2.216 3.302 0.648
4.817 1.101 6.911
5.733 3.302 3.131
```

Record 7
Material: MnBi2HS
Method: DFT, GGA-PBEsol
State: relaxed

Summary:
E_tot   -24.5 eV for the cell shown
Density   8.34 Mg/m³
Symmetry   P4/mmm, No. 123

Geometry as POSCAR:
```
MnBi2HS
1.0
5.613 0.000 0.000
0.000 5.613 0.000
0.000 0.000 3.199
Mn Bi H S
1 2 1 1
Cartesian
0.000 0.000 0.000
0.000 2.807 1.599
2.807 0.000 1.599
2.807 2.807 0.000
2.807 2.807 1.599
```

Record 8
Material: KTlAg
Method: DFT, GGA-PBEsol
State: relaxed

Summary:
Formation energy   0.04 eV/atom
Density   6.83 Mg/m³
Symmetry   Imm2, No. 44

Geometry as POSCAR:
```
KTlAg
1.0
3.435 0.000 0.000
0.000 4.179 0.000
0.000 0.000 11.905
K Tl Ag
2 2 2
Cartesian
0.000 0.000 0.000
1.718 2.090 5.953
0.000 0.000 8.397
1.718 2.090 2.444
0.000 0.000 3.524
1.718 2.090 9.477
```

Record 9
Material: CrTc2Pb
Method: DFT, GGA-PBEsol
State: relaxed

Summary:
Polymorph energy (0 for the lowest one)   0.0684 eV per atom
Formation energy   0.57 eV/atom
Density   12.01 Mg/m³
Symmetry   P2/m, No. 10

Geometry as POSCAR:
```
CrTc2Pb
1.0
2.905 0.000 0.000
0.000 3.922 0.000
-0.936 0.000 5.524
Cr Tc Pb
1 2 1
Cartesian
0.000 0.000 0.000
0.908 1.961 1.136
1.061 1.961 4.388
-0.468 0.000 2.762
```

Record 10
Material: CrGaSb2I
Method: DFT, GGA-PBEsol
State: relaxed

Summary:
ΔE_f (raw)   397 meV per atom
Density   5.77 Mg/m³
Symmetry   P4/mmm, No. 123

Geometry as POSCAR:
```
CrGaSb2I
1.0
4.936 0.000 0.000
0.000 4.936 0.000
0.000 0.000 5.808
Cr Ga Sb I
1 1 2 1
Cartesian
0.000 0.000 0.000
2.468 2.468 2.904
0.000 2.468 0.000
2.468 0.000 0.000
0.000 0.000 2.904
```

Record 11
Material: Ca2MgPd2
Method: DFT, GGA-PBEsol
State: relaxed

Summary:
Formation energy   -0.22 eV/atom
Density   4.15 Mg/m³
Symmetry   I4/mmm, No. 139

Geometry as POSCAR:
```
Ca2MgPd2
1.0
3.798 0.000 0.000
0.000 3.798 0.000
0.000 0.000 17.600
Ca Mg Pd
4 2 4
Cartesian
0.000 0.000 2.258
0.000 0.000 15.343
1.899 1.899 6.542
1.899 1.899 11.058
0.000 0.000 8.800
1.899 1.899 0.000
0.000 1.899 4.400
0.000 1.899 13.200
1.899 0.000 4.400
1.899 0.000 13.200
```

Record 12
Material: TlInS3
Method: DFT, GGA-PBEsol
State: relaxed

Summary:
ΔE_f (raw)   129 meV per atom
Density   5.47 Mg/m³
Symmetry   Pm-3m, No. 221

Geometry as POSCAR:
```
TlInS3
1.0
5.013 0.000 0.000
0.000 5.013 0.000
0.000 0.000 5.013
Tl In S
1 1 3
Cartesian
0.000 0.000 0.000
2.507 2.507 2.507
0.000 2.507 2.507
2.507 0.000 2.507
2.507 2.507 0.000
```